## TaAsAu2 (PBE-GGA)

Data for TaAsAu2 after structural relaxation.

a = 3.7961 Å, b = 4.3601 Å, c = 9.1627 Å
α = 90.00°, β = 90.00°, γ = 90.00°
Last column: nearest neighbours and their distance in Å.
Space group Cmm2 (No. 35)
Symmetry-distinct sites (fractional):
Ta1 0.0000 0.0000 0.0000 (multiplicity 2)  4 As 2.75-2.95, 4 Au 2.82-3.02, 4 Ta 2.89
As1 0.0000 0.5000 0.7826 (multiplicity 2)  4 Ta 2.75-2.95, 4 As 2.89
Au1 0.0000 0.0000 0.4701 (multiplicity 2)  8 Au 2.89-3.11
Au2 0.0000 0.5000 0.2274 (multiplicity 2)  4 Ta 2.82-3.02, 8 Au 2.89-3.11

V in Å³/atom: 19.0
Total DFT energy (no corrections) in eV per atom: -5.759
Total magnetic moment in Bohr magnetons per cell: 0.00
DFT formation energy in eV per formula unit: 0.0
Density in g/cm3: 14.2


## TaAsAu2 (PBE-GGA)

Data for TaAsAu2 after structural relaxation.

a = 2.9789 Å, b = 2.9789 Å, c = 8.2747 Å
α = 90.00°, β = 90.00°, γ = 90.00°
Last column: nearest neighbours and their distance in Å.
Space group P4/mmm (No. 123)
Symmetry-distinct sites (fractional):
Ta1 0.0000 0.0000 0.0000 (multiplicity 1)  8 Au 2.88, 4 Ta 2.98
As1 0.0000 0.0000 0.5000 (multiplicity 1)  4 As 2.98, 8 Au 3.03
Au1 0.5000 0.5000 0.2376 (multiplicity 2)  4 Ta 2.88, 4 Au 2.98, 4 As 3.03

V in Å³/atom: 18.4
Total DFT energy (no corrections) in eV per atom: -5.713
Total magnetic moment in Bohr magnetons per cell: 0.00
DFT formation energy in eV per formula unit: 0.2
Density in g/cm3: 14.7


## TaAs2Au (PBE-GGA)

Data for TaAs2Au after structural relaxation.

a = 2.9891 Å, b = 2.9891 Å, c = 31.5696 Å
α = 90.00°, β = 90.00°, γ = 120.00°
Last column: nearest neighbours and their distance in Å.
Space group R3m (No. 160, hexagonal axes)
Symmetry-distinct sites (fractional):
Ta1 0.0000 0.0000 0.0000 (multiplicity 3)  3 As 2.77, 3 Au 2.90, 6 Ta 2.99
As1 0.0000 0.0000 0.5196 (multiplicity 3)  3 Au 2.89, 6 As 2.99
As2 0.0000 0.0000 0.7352 (multiplicity 3)  3 Ta 2.77, 6 As 2.99
Au1 0.0000 0.0000 0.2596 (multiplicity 3)  3 As 2.89, 3 Ta 2.90, 6 Au 2.99

V in Å³/atom: 20.4
Total DFT energy (no corrections) in eV per atom: -5.963
Total magnetic moment in Bohr magnetons per cell: 0.00
DFT formation energy in eV per formula unit: 0.6
Density in g/cm3: 10.8


## TaAsAu3 (PBE-GGA)

Data for TaAsAu3 after structural relaxation.

a = 4.7790 Å, b = 4.7790 Å, c = 4.7790 Å
α = 90.00°, β = 90.00°, γ = 90.00°
Last column: nearest neighbours and their distance in Å.
Space group Pm-3m (No. 221)
Symmetry-distinct sites (fractional):
Ta1 0.0000 0.0000 0.0000 (multiplicity 1)  12 Au 3.38
As1 0.5000 0.5000 0.5000 (multiplicity 1)  6 Au 2.39
Au1 0.0000 0.5000 0.5000 (multiplicity 3)  2 As 2.39

V in Å³/atom: 21.8
Total DFT energy (no corrections) in eV per atom: -4.193
Total magnetic moment in Bohr magnetons per cell: 0.00
DFT formation energy in eV per formula unit: 5.4
Density in g/cm3: 12.9


## TaAs2Au (PBE-GGA)

Data for TaAs2Au after structural relaxation.

a = 3.4794 Å, b = 4.5382 Å, c = 10.2733 Å
α = 90.00°, β = 90.00°, γ = 90.00°
Last column: nearest neighbours and their distance in Å.
Space group Cmmm (No. 65)
Symmetry-distinct sites (fractional):
Ta1 0.0000 0.0000 0.0000 (multiplicity 2)  4 As 2.70, 4 Ta 2.86
As1 0.0000 0.5000 0.2011 (multiplicity 4)  2 Ta 2.70, 4 As 2.86
Au1 0.0000 0.0000 0.5000 (multiplicity 2)  4 Au 2.86

V in Å³/atom: 20.3
Total DFT energy (no corrections) in eV per atom: -6.056
Total magnetic moment in Bohr magnetons per cell: 0.00
DFT formation energy in eV per formula unit: 0.2
Density in g/cm3: 10.8


## TaAs2Au (PBE-GGA)

Data for TaAs2Au after structural relaxation.

a = 5.9093 Å, b = 5.9093 Å, c = 11.5889 Å
α = 90.00°, β = 90.00°, γ = 90.00°
Last column: nearest neighbours and their distance in Å.
Space group I-42d (No. 122)
Symmetry-distinct sites (fractional):
Ta1 0.0000 0.0000 0.0000 (multiplicity 4)  4 As 2.50
As1 0.2368 0.2500 0.1250 (multiplicity 8)  2 Ta 2.50, 2 Au 2.59
Au1 0.0000 0.0000 0.5000 (multiplicity 4)  4 As 2.59

V in Å³/atom: 25.3
Total DFT energy (no corrections) in eV per atom: -5.934
Total magnetic moment in Bohr magnetons per cell: 0.00
DFT formation energy in eV per formula unit: 0.7
Density in g/cm3: 8.7


## TaAs2Au (PBE-GGA)

Data for TaAs2Au after structural relaxation.

a = 3.5486 Å, b = 3.7580 Å, c = 11.5165 Å
α = 90.00°, β = 90.00°, γ = 90.00°
Last column: nearest neighbours and their distance in Å.
Space group Imm2 (No. 44)
Symmetry-distinct sites (fractional):
Ta1 0.0000 0.0000 0.0000 (multiplicity 2)  6 As 2.63-2.73
As1 0.0000 0.0000 0.4226 (multiplicity 2)  4 Ta 2.73
As2 0.0000 0.5000 0.6686 (multiplicity 2)  4 Au 2.63, 2 Ta 2.63
Au1 0.0000 0.5000 0.2110 (multiplicity 2)  4 As 2.63

V in Å³/atom: 19.2
Total DFT energy (no corrections) in eV per atom: -6.067
Total magnetic moment in Bohr magnetons per cell: 0.00
DFT formation energy in eV per formula unit: 0.2
Density in g/cm3: 11.4


## TaAsAu2 (PBE-GGA)

Data for TaAsAu2 after structural relaxation.

a = 2.9754 Å, b = 2.9754 Å, c = 28.9566 Å
α = 90.00°, β = 90.00°, γ = 120.00°
Last column: nearest neighbours and their distance in Å.
Space group R3m (No. 160, hexagonal axes)
Symmetry-distinct sites (fractional):
Ta1 0.0000 0.0000 0.0000 (multiplicity 3)  3 As 2.77, 3 Au 2.87, 6 Ta 2.98
As1 0.0000 0.0000 0.7416 (multiplicity 3)  3 Ta 2.77, 6 As 2.98
Au1 0.0000 0.0000 0.2541 (multiplicity 3)  3 Ta 2.87, 9 Au 2.98
Au2 0.0000 0.0000 0.5033 (multiplicity 3)  9 Au 2.98, 3 As 3.25

V in Å³/atom: 18.5
Total DFT energy (no corrections) in eV per atom: -5.740
Total magnetic moment in Bohr magnetons per cell: 0.00
DFT formation energy in eV per formula unit: 0.1
Density in g/cm3: 14.6


## TaAs2Au (PBE-GGA)

Data for TaAs2Au after structural relaxation.

a = 3.8680 Å, b = 3.5542 Å, c = 10.9681 Å
α = 90.00°, β = 90.00°, γ = 90.00°
Last column: nearest neighbours and their distance in Å.
Space group Amm2 (No. 38)
Symmetry-distinct sites (fractional):
Ta1 0.0000 0.0000 0.0000 (multiplicity 2)  6 As 2.75-2.79, 2 Au 2.86
As1 0.0000 0.0000 0.3040 (multiplicity 2)  4 Au 2.63, 2 Ta 2.79
As2 0.5000 0.0000 0.5734 (multiplicity 2)  1 Au 2.57, 4 Ta 2.75
Au1 0.5000 0.0000 0.8081 (multiplicity 2)  5 As 2.57-2.63, 2 Ta 2.86

V in Å³/atom: 18.8
Total DFT energy (no corrections) in eV per atom: -6.186
Total magnetic moment in Bohr magnetons per cell: 0.00
DFT formation energy in eV per formula unit: -0.3
Density in g/cm3: 11.6


## TaAsAu2 (PBE-GGA)

Data for TaAsAu2 after structural relaxation.

a = 3.3216 Å, b = 4.3877 Å, c = 4.9064 Å
α = 90.00°, β = 90.00°, γ = 90.00°
Last column: nearest neighbours and their distance in Å.
Space group Pmmm (No. 47)
Symmetry-distinct sites (fractional):
Ta1 0.0000 0.0000 0.0000 (multiplicity 1)  4 As 2.75, 4 Au 2.96
As1 0.5000 0.5000 0.0000 (multiplicity 1)  4 Ta 2.75, 4 Au 2.96
Au1 0.0000 0.5000 0.5000 (multiplicity 1)  4 Au 2.75, 4 As 2.96
Au2 0.5000 0.0000 0.5000 (multiplicity 1)  4 Au 2.75, 4 Ta 2.96

V in Å³/atom: 17.9
Total DFT energy (no corrections) in eV per atom: -5.644
Total magnetic moment in Bohr magnetons per cell: 0.00
DFT formation energy in eV per formula unit: 0.5
Density in g/cm3: 15.1


## TaAsAu2 (PBE-GGA)

Data for TaAsAu2 after structural relaxation.

a = 7.5453 Å, b = 7.5453 Å, c = 5.3194 Å
α = 90.00°, β = 90.00°, γ = 90.00°
Last column: nearest neighbours and their distance in Å.
Space group I-42d (No. 122)
Symmetry-distinct sites (fractional):
Ta1 0.0000 0.0000 0.0000 (multiplicity 4)  2 As 2.66, 4 Au 2.81
As1 0.0000 0.0000 0.5000 (multiplicity 4)  2 Ta 2.66, 4 Au 2.69
Au1 0.2386 0.7500 0.6250 (multiplicity 8)  2 Au 2.67, 2 As 2.69, 2 Ta 2.81

V in Å³/atom: 18.9
Total DFT energy (no corrections) in eV per atom: -5.630
Total magnetic moment in Bohr magnetons per cell: 0.00
DFT formation energy in eV per formula unit: 0.5
Density in g/cm3: 14.3


## TaAsAu (PBE-GGA)

Data for TaAsAu after structural relaxation.

a = 2.9221 Å, b = 2.9221 Å, c = 13.8104 Å
α = 90.00°, β = 90.00°, γ = 90.00°
Last column: nearest neighbours and their distance in Å.
Space group I4mm (No. 107)
Symmetry-distinct sites (fractional):
Ta1 0.0000 0.0000 0.0000 (multiplicity 2)  4 As 2.83, 4 Au 2.86, 4 Ta 2.92
As1 0.0000 0.0000 0.6396 (multiplicity 2)  4 Ta 2.83, 4 As 2.92
Au1 0.0000 0.0000 0.3568 (multiplicity 2)  4 Ta 2.86, 4 Au 2.92

V in Å³/atom: 19.7
Total DFT energy (no corrections) in eV per atom: -6.554
Total magnetic moment in Bohr magnetons per cell: 0.00
DFT formation energy in eV per formula unit: 0.1
Density in g/cm3: 12.8


## TaAs2Au (PBE-GGA)

Data for TaAs2Au after structural relaxation.

a = 3.8017 Å, b = 4.3611 Å, c = 9.8943 Å
α = 90.00°, β = 90.00°, γ = 90.00°
Last column: nearest neighbours and their distance in Å.
Space group Cmm2 (No. 35)
Symmetry-distinct sites (fractional):
Ta1 0.0000 0.0000 0.0000 (multiplicity 2)  4 As 2.76-2.96, 4 Au 2.81-3.01, 4 Ta 2.89
As1 0.0000 0.0000 0.4311 (multiplicity 2)  4 As 2.89, 4 Au 2.90-3.09
As2 0.0000 0.5000 0.7984 (multiplicity 2)  4 Ta 2.76-2.96, 4 As 2.89
Au1 0.0000 0.5000 0.2096 (multiplicity 2)  4 Ta 2.81-3.01, 4 Au 2.89, 4 As 2.90-3.09

V in Å³/atom: 20.5
Total DFT energy (no corrections) in eV per atom: -6.058
Total magnetic moment in Bohr magnetons per cell: 0.00
DFT formation energy in eV per formula unit: 0.2
Density in g/cm3: 10.7


## TaZnAs2Au (PBE-GGA)

Data for TaZnAs2Au after structural relaxation.

a = 4.7056 Å, b = 4.7056 Å, c = 4.7393 Å
α = 90.00°, β = 90.00°, γ = 90.00°
Last column: nearest neighbours and their distance in Å.
Space group P4/mmm (No. 123)
Symmetry-distinct sites (fractional):
Ta1 0.0000 0.0000 0.0000 (multiplicity 1)  4 Au 3.33, 8 As 3.34
Zn1 0.5000 0.5000 0.5000 (multiplicity 1)  4 As 2.35, 2 Au 2.37
As1 0.0000 0.5000 0.5000 (multiplicity 2)  2 Zn 2.35
Au1 0.5000 0.5000 0.0000 (multiplicity 1)  2 Zn 2.37

V in Å³/atom: 21.0
Total DFT energy (no corrections) in eV per atom: -4.117
Total magnetic moment in Bohr magnetons per cell: 1.51
DFT formation energy in eV per formula unit: 5.1
Density in g/cm3: 9.4


## ZrTa2AsAu (PBE-GGA)

Data for ZrTa2AsAu after structural relaxation.

a = 4.7145 Å, b = 4.7145 Å, c = 4.9454 Å
α = 90.00°, β = 90.00°, γ = 90.00°
Last column: nearest neighbours and their distance in Å.
Space group P4/mmm (No. 123)
Symmetry-distinct sites (fractional):
Zr1 0.0000 0.0000 0.0000 (multiplicity 1)  2 As 2.47
Ta1 0.0000 0.5000 0.5000 (multiplicity 2)  2 As 2.36
As1 0.0000 0.0000 0.5000 (multiplicity 1)  4 Ta 2.36, 2 Zr 2.47
Au1 0.5000 0.5000 0.0000 (multiplicity 1)  4 Zr 3.33, 8 Ta 3.42

V in Å³/atom: 22.0
Total DFT energy (no corrections) in eV per atom: -7.456
Total magnetic moment in Bohr magnetons per cell: 0.00
DFT formation energy in eV per formula unit: 2.9
Density in g/cm3: 11.0